Entry 1:
Below is LiLaTm2S4 after structural relaxation, with properties calculated at the PBE-GGA level.

Computed properties:
calculated volume: 172.3 Å³/f.u.
DOS(E_F): 0.32 states/eV/atom
uncorrected formation energy: -1.94 eV/atom
space group: P2/m
DFT total energy: -47.8 eV per formula unit

CIF file:
```
data_LiLaTm2S4
_chemical_formula_sum 'Li1 La1 Tm2 S4'
_cell_length_a 3.905
_cell_length_b 6.764
_cell_length_c 6.902
_cell_angle_alpha 109.07
_cell_angle_beta 90.00
_cell_angle_gamma 90.00
_space_group_name_H-M_alt 'P 1'
_space_group_IT_number 1
_space_group_name_Hall 'P 1'
loop_
_atom_site_label
_atom_site_type_symbol
_atom_site_fract_x
_atom_site_fract_y
_atom_site_fract_z
Li1 Li 0.500 0.500 0.000
La1 La 0.000 0.000 0.000
Tm1 Tm 0.500 0.000 0.500
Tm2 Tm 0.000 0.500 0.500
S1 S 0.500 0.266 0.266
S2 S 0.500 0.734 0.734
S3 S 0.000 0.254 0.739
S4 S 0.000 0.746 0.261
```

=====

Entry 2:
Below is MnVSN2 after structural relaxation, with properties calculated at the PBE-GGA level.

Computed properties:
calculated volume: 61.2 Å³/f.u.
DOS(E_F): 1.24 states/eV/atom
uncorrected formation energy: 0.59 eV/atom
space group: P4/mmm
DFT total energy: -36.1 eV per formula unit

CIF file:
```
data_MnVSN2
_chemical_formula_sum 'Mn1 V1 S1 N2'
_cell_length_a 3.571
_cell_length_b 3.571
_cell_length_c 4.797
_cell_angle_alpha 90.00
_cell_angle_beta 90.00
_cell_angle_gamma 90.00
_space_group_name_H-M_alt 'P 1'
_space_group_IT_number 1
_space_group_name_Hall 'P 1'
loop_
_atom_site_label
_atom_site_type_symbol
_atom_site_fract_x
_atom_site_fract_y
_atom_site_fract_z
N1 N 0.000 0.500 0.000
N2 N 0.500 0.000 0.000
S1 S 0.000 0.000 0.500
Mn1 Mn 0.000 0.000 0.000
V1 V 0.500 0.500 0.500
```

=====

Entry 3:
Below is MnRhBr2 after structural relaxation, with properties calculated at the PBE-GGA level.

Computed properties:
calculated volume: 101.6 Å³/f.u.
DOS(E_F): 0.76 states/eV/atom
uncorrected formation energy: -0.08 eV/atom
space group: C2/m
DFT total energy: -20.2 eV per formula unit

CIF file:
```
data_MnRhBr2
_chemical_formula_sum 'Mn1 Rh1 Br2'
_cell_length_a 7.409
_cell_length_b 7.409
_cell_length_c 4.031
_cell_angle_alpha 83.67
_cell_angle_beta 83.67
_cell_angle_gamma 27.53
_space_group_name_H-M_alt 'P 1'
_space_group_IT_number 1
_space_group_name_Hall 'P 1'
loop_
_atom_site_label
_atom_site_type_symbol
_atom_site_fract_x
_atom_site_fract_y
_atom_site_fract_z
Br1 Br 0.112 0.112 0.944
Br2 Br 0.388 0.388 0.556
Mn1 Mn 0.750 0.750 0.750
Rh1 Rh 0.250 0.250 0.250
```

=====

Entry 4:
Below is K12Ag6Hg after structural relaxation, with properties calculated at the PBE-GGA level.

Computed properties:
calculated volume: 843.8 Å³/f.u.
DOS(E_F): 0.43 states/eV/atom
DFT formation energy: 0.018 eV per atom
space group: Im-3
DFT total energy: -30.2 eV per formula unit

CIF file:
```
data_K12Ag6Hg
_chemical_formula_sum 'K12 Ag6 Hg1'
_cell_length_a 10.311
_cell_length_b 10.311
_cell_length_c 10.311
_cell_angle_alpha 109.47
_cell_angle_beta 109.47
_cell_angle_gamma 109.47
_space_group_name_H-M_alt 'P 1'
_space_group_IT_number 1
_space_group_name_Hall 'P 1'
loop_
_atom_site_label
_atom_site_type_symbol
_atom_site_fract_x
_atom_site_fract_y
_atom_site_fract_z
K1 K 0.299 0.117 0.818
K2 K 0.299 0.481 0.182
K3 K 0.701 0.519 0.818
K4 K 0.701 0.883 0.182
K5 K 0.117 0.818 0.299
K6 K 0.481 0.182 0.299
K7 K 0.519 0.818 0.701
K8 K 0.883 0.182 0.701
K9 K 0.818 0.299 0.117
K10 K 0.182 0.299 0.481
K11 K 0.818 0.701 0.519
K12 K 0.182 0.701 0.883
Ag1 Ag 0.382 0.500 0.882
Ag2 Ag 0.618 0.500 0.118
Ag3 Ag 0.500 0.882 0.382
Ag4 Ag 0.500 0.118 0.618
Ag5 Ag 0.882 0.382 0.500
Ag6 Ag 0.118 0.618 0.500
Hg1 Hg 0.000 0.000 0.000
```